1.
Below is a relaxed structure of NdBi12Ir4, with properties calculated at the PBE-GGA level.

```
NdBi12Ir4
1.0
-7.4764 1.9627 3.6839
3.2209 -7.0422 3.6542
5.4770 6.5030 1.0166
Nd Bi Ir
1 12 4
direct
0.0000 0.0000 0.0000
0.8422 0.3328 0.1750
0.3328 0.4905 0.1578
0.8250 0.1578 0.6672
0.3328 0.1750 0.8422
0.1750 0.8422 0.3328
0.6672 0.5095 0.8422
0.4905 0.1578 0.3328
0.5095 0.8422 0.6672
0.6672 0.8250 0.1578
0.8422 0.6672 0.5095
0.1578 0.3328 0.4905
0.1578 0.6672 0.8250
0.0000 0.5000 0.0000
0.5000 0.0000 0.0000
0.5000 0.5000 0.5000
0.0000 0.0000 0.5000
```

Energy of formation from the pure elements (eV/atom): -0.0950
V (Å³ per cell): 483

2.
Below is a relaxed structure of Ta5Ni2H4, with properties calculated at the PBE-GGA level.

```
Ta5Ni2H4
1.0
2.7902 0.0000 0.0000
0.0000 6.6501 -1.1957
-1.3951 -4.8186 7.9330
Ta Ni H
5 2 4
direct
0.1649 0.7527 0.3298
0.8351 0.2473 0.6702
0.1873 0.2321 0.3747
0.5000 0.0000 0.0000
0.8127 0.7679 0.6253
0.0191 0.7096 0.0382
0.9809 0.2904 0.9618
0.6773 0.5680 0.3546
0.9214 0.7238 0.8427
0.3227 0.4320 0.6454
0.0786 0.2762 0.1573
```

Energy (eV/f.u.): -83.0
V (Å³ per cell): 131

3.
Below is a relaxed structure of HoGa2Cu5, with properties calculated at the PBE-GGA level.

```
HoGa2Cu5
1.0
-2.5242 0.3408 2.6965
2.7440 -1.6923 5.3338
1.6834 4.8656 3.5122
Ho Ga Cu
1 2 5
direct
0.0000 0.0000 0.0000
0.7465 0.7535 0.7535
0.2535 0.2465 0.2465
0.0000 0.5000 0.5000
0.6312 0.5555 0.1820
0.3688 0.4445 0.8180
0.3688 0.8180 0.4445
0.6312 0.1820 0.5555
```

Energy of formation from the pure elements (eV/atom): -0.2064
V (Å³ per cell): 124

4.
Below is a relaxed structure of Tm2CdBi, with properties calculated at the PBE-GGA level.

```
Tm2CdBi
1.0
-3.2231 0.1512 2.2873
0.4948 -3.8075 0.9490
3.8772 1.8353 5.3422
Tm Bi Cd
2 1 1
direct
0.0000 0.0000 0.7509
0.0000 0.0000 0.2491
0.5000 0.5000 0.5000
0.5000 0.5000 0.0000
```

Energy of formation from the pure elements (eV/atom): -0.4193
V (Å³ per cell): 107
Energy above the lowest structure with this stoichiometry (eV per atom): 0.000

5.
Below is a relaxed structure of NdErGa2Pt5, with properties calculated at the PBE-GGA level.

```
NdErGa2Pt5
1.0
-0.0138 3.5925 2.2092
-3.8514 -0.9109 1.4572
3.8158 -4.4692 7.2913
Nd Er Ga Pt
1 1 2 5
direct
0.0000 0.0000 0.5000
0.0000 0.0000 0.0000
0.5000 0.5000 0.1294
0.5000 0.5000 0.8706
0.0000 0.5000 0.2690
0.5000 0.0000 0.2690
0.0000 0.5000 0.7310
0.5000 0.0000 0.7310
0.5000 0.5000 0.5000
```

Energy of formation from the pure elements (eV/atom): -0.8904
V (Å³ per cell): 167

6.
Below is a relaxed structure of Cs2ZrIrI6, with properties calculated at the PBE-GGA level.

```
Cs2ZrIrI6
1.0
8.2395 0.0000 0.0000
0.0000 8.2395 0.0000
4.1197 4.1197 5.7498
Cs I Ir Zr
2 6 1 1
direct
0.7500 0.2500 0.5000
0.2500 0.7500 0.5000
0.2442 0.2442 0.5117
0.7558 0.7558 0.4883
0.2464 0.2464 0.0000
0.7536 0.7536 0.0000
0.7536 0.2464 0.0000
0.2464 0.7536 0.0000
0.0000 0.0000 0.0000
0.5000 0.5000 0.0000
```

V (Å³ per cell): 390
Uncorrected formation energy (meV/atom): -655.1

7.
Below is a relaxed structure of Pm5SmGa3, with properties calculated at the PBE-GGA level.

```
Pm5SmGa3
1.0
6.7764 0.0000 0.0000
0.0000 9.1520 0.0000
0.0000 -4.5760 7.9243
Pm Sm Ga
10 2 6
direct
0.0000 0.6669 0.3337
0.5000 0.3331 0.6663
0.0000 0.3331 0.6663
0.5000 0.6669 0.3337
0.7500 0.6660 0.6661
0.7500 0.9999 0.3339
0.7500 0.3341 0.0000
0.2500 0.3340 0.3339
0.2500 0.0001 0.6661
0.2500 0.6659 0.0000
0.0000 0.0000 0.0000
0.5000 0.0000 0.0000
0.7500 0.3319 0.3320
0.7500 0.9999 0.6680
0.7500 0.6680 0.0000
0.2500 0.6681 0.6680
0.2500 0.0001 0.3320
0.2500 0.3320 0.0000
```

Energy of formation from the pure elements (eV/atom): -0.3659
V (Å³ per cell): 491

8.
Below is a relaxed structure of SiHIr2, with properties calculated at the PBE-GGA level.

```
SiHIr2
1.0
0.0000 2.8439 2.8439
2.8439 0.0000 2.8439
2.8439 2.8439 0.0000
H Si Ir
1 1 2
direct
0.0000 0.0000 0.0000
0.5000 0.5000 0.5000
0.2500 0.2500 0.2500
0.7500 0.7500 0.7500
```

V (Å³ per cell): 46
Energy above the lowest structure with this stoichiometry (eV per atom): 0.037